[1]
This record from Alexandria describes a relaxed structure of Li2Ag3Pb. The functional is PBE.

Properties
- symmetry = C2/m, No. 12
- VASP energy (eV for the cell shown) = -34.1

abc: 4.156 7.866 8.460
angles: 121.49 90.00 105.32
Sites, in units of the cell vectors:
Ag: 0.746 0.492 0.614
Ag: 0.916 0.832 0.540
Ag: 0.084 0.168 0.460
Ag: 0.584 0.167 0.702
Ag: 0.416 0.833 0.298
Ag: 0.254 0.508 0.386
Pb: 0.094 0.188 0.972
Pb: 0.906 0.812 0.028
Li: 0.761 0.521 0.160
Li: 0.239 0.479 0.840
Li: 0.413 0.826 0.762
Li: 0.587 0.174 0.238

[2]
This record from Alexandria describes a relaxed structure of Li3Ag2Pb4. The functional is PBE.

Properties
- symmetry = C2/m, No. 12
- VASP energy (eV for the cell shown) = -27.3

abc: 4.485 7.252 7.025
angles: 107.09 108.62 90.00
Sites, in units of the cell vectors:
Pb: 0.225 0.312 0.450
Pb: 0.464 0.696 0.928
Pb: 0.536 0.304 0.072
Pb: 0.775 0.688 0.550
Li: 0.000 0.000 0.000
Li: 0.116 0.673 0.232
Li: 0.884 0.327 0.768
Ag: 0.675 0.007 0.351
Ag: 0.325 0.993 0.649